A relaxed HfTe2Rh2 crystal, computed with PBE.

Lattice parameters (Å, degrees): 7.7085 7.7085 3.2882 90.00 90.00 90.00
Fractional positions:
Rh 0.1480 0.6480 0.5000
Rh 0.6480 0.8520 0.5000
Rh 0.8520 0.3520 0.5000
Rh 0.3520 0.1480 0.5000
Te 0.3434 0.8434 0.0000
Te 0.8434 0.6566 0.0000
Te 0.6566 0.1566 0.0000
Te 0.1566 0.3434 0.0000
Hf 0.0000 0.0000 0.0000
Hf 0.5000 0.5000 0.0000

DFT total energy = -31.74 eV per formula unit
Total moment = 0.00 Bohr magnetons per cell
Formation energy from raw total energies = -159 meV per atom